# 1
The following is a DFT calculation (PBE) of TiNbGeBr2 after structural relaxation.

Results
uncorrected formation energy	27.3	kcal/mol of atoms
D(E_F)	8.92	states/eV/f.u.
magnetization	3.94	μB per cell

abc: 5.178 5.178 5.165
angles: 90.00 90.00 90.00
Space group P4/mmm (No. 123)
Unique sites:
Ti 0.000 0.000 0.000 (multiplicity 1)
Nb 0.500 0.500 0.000 (multiplicity 1)
Ge 0.000 0.000 0.500 (multiplicity 1)
Br 0.000 0.500 0.500 (multiplicity 2)

# 2
The following is a DFT calculation (PBE) of Mn2Zn2Ga after structural relaxation.

Results
energy of formation from the pure elements	0.67	eV/f.u.
offset from the most stable computed form	0	meV/atom
D(E_F)	3.95	states/eV/f.u.
magnetization	24.48	μB per cell

abc: 11.402 6.827 4.223
angles: 90.00 111.64 90.00
Space group C2/c (No. 15)
Unique sites:
Mn 0.134 0.176 0.384 (multiplicity 8)
Zn 0.188 0.408 0.938 (multiplicity 8)
Ga 0.000 0.161 0.750 (multiplicity 4)

# 3
The following is a DFT calculation (PBE) of Li2HfTa2Se6 after structural relaxation.

Results
uncorrected formation energy	-23.5	kcal/mol of atoms
D(E_F)	3.76	states/eV/f.u.
magnetization	0.00	μB per cell

abc: 6.335 10.949 6.948
angles: 90.00 104.26 90.00
Space group C2/m (No. 12)
Unique sites:
Li 0.000 0.177 0.000 (multiplicity 4)
Hf 0.000 0.000 0.500 (multiplicity 2)
Ta 0.000 0.369 0.500 (multiplicity 4)
Se 0.233 0.176 0.725 (multiplicity 8)
Se 0.250 0.000 0.231 (multiplicity 4)